[1]
A relaxed Pr2Nd3Cd crystal. Source: Alexandria, functional PBE-GGA.

abc: 3.719 3.719 14.487
angles: 90.00 90.00 90.00
Space group P4/mmm (No. 123)
Inequivalent atoms, fractional coordinates:
Pr1 0.000 0.000 0.180
Nd1 0.500 0.500 0.000
Nd2 0.500 0.500 0.357
Cd1 0.000 0.000 0.500

Formation enthalpy at 0 K ... -0.100 eV/atom
ΔE to the lowest computed polymorph ... 0.0 kJ/mol of atoms


[2]
A relaxed Zn3PbF crystal. Source: Alexandria, functional PBE-GGA.

abc: 4.638 4.638 4.638
angles: 90.00 90.00 90.00
Space group Pm-3m (No. 221)
Inequivalent atoms, fractional coordinates:
Zn1 0.000 0.000 0.500
Pb1 0.500 0.500 0.500
F1 0.000 0.000 0.000

Energy relative to the elements, uncorrected ... -0.20 eV per atom
ΔE to the lowest computed polymorph ... 0.0 kJ/mol of atoms


[3]
A relaxed CrPbBr2 crystal. Source: Alexandria, functional PBE-GGA.

abc: 7.522 7.522 7.522
angles: 90.00 90.00 90.00
Space group Fm-3m (No. 225)
Inequivalent atoms, fractional coordinates:
Cr1 0.000 0.000 0.000
Pb1 0.000 0.000 0.500
Br1 0.250 0.250 0.250

Energy relative to the elements, uncorrected ... 0.07 eV per atom
ΔE to the lowest computed polymorph ... 35.7 kJ/mol of atoms